VASP calculation (PBE) on a relaxed La12PtAu6 crystal.

Values from the calculation:
Calculated total energy, eV per cell: -94.9
Space-group type: R-3, No. 148
Formation energy, meV/atom: -528
DOS at the Fermi energy, states/eV/f.u.: 25.8

Cell: 8.7795 8.7795 8.7795 Å, 98.41 98.41 98.41°
Last column: nearest neighbours and their distance in Å.
Fractional coordinates of all 19 atoms:
Au  0.6239  0.3063  0.1278  6 La 3.00-3.30
Au  0.8722  0.3761  0.6937  6 La 3.00-3.30
Au  0.3761  0.6937  0.8722  6 La 3.00-3.30
Au  0.6937  0.8722  0.3761  6 La 3.00-3.30
Au  0.3063  0.1278  0.6239  6 La 3.00-3.30
Au  0.1278  0.6239  0.3063  6 La 3.00-3.30
La  0.8127  0.5765  0.4228  4 Au 3.00-3.30
La  0.9303  0.0410  0.6787  1 Pt 2.88, 2 Au 3.05-3.15
La  0.5772  0.1873  0.4235  4 Au 3.00-3.30
La  0.4228  0.8127  0.5765  4 Au 3.00-3.30
La  0.0410  0.6787  0.9303  1 Pt 2.88, 2 Au 3.05-3.15
La  0.3213  0.0697  0.9590  1 Pt 2.88, 2 Au 3.05-3.15
La  0.6787  0.9303  0.0410  1 Pt 2.88, 2 Au 3.05-3.15
La  0.9590  0.3213  0.0697  1 Pt 2.88, 2 Au 3.05-3.15
La  0.1873  0.4235  0.5772  4 Au 3.00-3.30
La  0.5765  0.4228  0.8127  4 Au 3.00-3.30
La  0.0697  0.9590  0.3213  1 Pt 2.88, 2 Au 3.05-3.15
La  0.4235  0.5772  0.1873  4 Au 3.00-3.30
Pt  0.0000  0.0000  0.0000  6 La 2.88

=====

VASP calculation (PBE) on a relaxed BaAgTeN2 crystal.

Values from the calculation:
Calculated total energy, eV per cell: -19.6
Uncorrected formation energy, eV/atom: 1.002
Space-group type: P4/mmm, No. 123
DOS at the Fermi energy, states/eV/f.u.: 3.5
Excess energy over the best structure of this formula in the dataset, meV/atom: 0

Cell: 4.6922 4.6922 5.5561 Å, 90.00 90.00 90.00°
Last column: nearest neighbours and their distance in Å.
Fractional coordinates of all 5 atoms:
Ba  0.5000  0.5000  0.5000  4 Te 3.32, 8 N 3.64
Te  0.0000  0.0000  0.5000  2 Ag 2.78
N  0.5000  0.0000  0.0000  2 Ag 2.35
N  0.0000  0.5000  0.0000  2 Ag 2.35
Ag  0.0000  0.0000  0.0000  4 N 2.35

=====

VASP calculation (PBE) on a relaxed BaZnNi crystal.

Values from the calculation:
Calculated total energy, eV per cell: -18.6
Space-group type: I4/mmm, No. 139
Formation energy, meV/atom: -103
DOS at the Fermi energy, states/eV/f.u.: 2.8

Cell: 4.3209 4.3209 9.2177 Å, 103.56 103.56 90.00°
Last column: nearest neighbours and their distance in Å.
Fractional coordinates of all 6 atoms:
Ba  0.3454  0.3454  0.6907  4 Ni 3.40, 4 Zn 3.45
Ba  0.6546  0.6546  0.3093  4 Ni 3.40, 4 Zn 3.45
Zn  0.0000  0.5000  0.0000  4 Ni 2.48
Zn  0.5000  0.0000  0.0000  4 Ni 2.48
Ni  0.0695  0.0695  0.1390  1 Ni 2.42, 4 Zn 2.48
Ni  0.9305  0.9305  0.8610  1 Ni 2.42, 4 Zn 2.48

=====

- Look up the DOS at the Fermi energy of the second one.
  3.5 states/eV/f.u.

=====

- The lowest calculated total energy belongs to which entry?
  La12PtAu6

=====

- Look up the DOS at the Fermi energy of the third one.
  2.8 states/eV/f.u.